[1]
## Cd2CN (PBE-GGA)

Data for an optimized crystal structure of Cd2CN.

a = 4.2553 Å, b = 4.2553 Å, c = 4.2553 Å
α = 60.00°, β = 60.00°, γ = 60.00°
Last column: nearest neighbours and their distance in Å.
Fractional coordinates of all 4 atoms:
N  0.5000  0.5000  0.5000  8 Cd 2.61
Cd  0.7500  0.7500  0.7500  4 C 2.61, 4 N 2.61
Cd  0.2500  0.2500  0.2500  4 C 2.61, 4 N 2.61
C  0.0000  0.0000  0.0000  8 Cd 2.61

Computed properties:
ΔE to the lowest computed polymorph in meV/atom: 208

=====

[2]
## Nd3CdC2N6 (PBE-GGA)

Data for an optimized crystal structure of Nd3CdC2N6.

a = 5.4598 Å, b = 5.4598 Å, c = 6.5359 Å
α = 90.00°, β = 90.00°, γ = 120.00°
Last column: nearest neighbours and their distance in Å.
Fractional coordinates of all 12 atoms:
C  0.3333  0.6667  0.2648  3 N 1.37
C  0.6667  0.3333  0.7352  3 N 1.37
N  0.8115  0.1885  0.7340  1 C 1.37
N  0.3771  0.1885  0.7340  1 C 1.37
N  0.8115  0.6229  0.7340  1 C 1.37
N  0.6229  0.8115  0.2660  1 C 1.37
N  0.1885  0.3771  0.2660  1 C 1.37
N  0.1885  0.8115  0.2660  1 C 1.37
Nd  0.3333  0.6667  0.6632  1 C 2.60, 6 N 2.78
Nd  0.0000  0.0000  0.0000  6 N 2.49
Nd  0.6667  0.3333  0.3368  1 C 2.60, 6 N 2.78
Cd  0.0000  0.0000  0.5000  6 N 2.35

=====

[3]
## CdCN2O (PBE-GGA)

Data for an optimized crystal structure of CdCN2O.

a = 3.0330 Å, b = 3.0330 Å, c = 6.8653 Å
α = 90.00°, β = 90.00°, γ = 90.00°
Last column: nearest neighbours and their distance in Å.
Fractional coordinates of all 5 atoms:
O  0.0000  0.0000  0.5000  4 Cd 2.14
Cd  0.5000  0.5000  0.5000  4 O 2.14
C  0.0000  0.0000  0.0000  4 N 1.52
N  0.5000  0.0000  0.0000  2 C 1.52
N  0.0000  0.5000  0.0000  2 C 1.52

=====

[4]
## CdCN2O (PBE-GGA)

Data for an optimized crystal structure of CdCN2O.

a = 4.3003 Å, b = 4.3003 Å, c = 4.2795 Å
α = 90.00°, β = 90.00°, γ = 90.00°
Last column: nearest neighbours and their distance in Å.
Fractional coordinates of all 5 atoms:
C  0.5000  0.5000  0.5000  8 N 3.03, 4 O 3.04
O  0.0000  0.0000  0.5000  2 Cd 2.14
N  0.0000  0.5000  0.0000  2 Cd 2.15
N  0.5000  0.0000  0.0000  2 Cd 2.15
Cd  0.0000  0.0000  0.0000  2 O 2.14, 4 N 2.15

=====

[5]
## CdC2N4O4 (PBE-GGA)

Data for an optimized crystal structure of CdC2N4O4.

a = 6.4327 Å, b = 8.5174 Å, c = 10.9567 Å
α = 90.00°, β = 90.00°, γ = 90.00°
Last column: nearest neighbours and their distance in Å.
Fractional coordinates of all 22 atoms:
C  0.1095  0.8510  0.2157  2 O 1.18
C  0.6095  0.1490  0.2843  2 O 1.18
C  0.8905  0.8510  0.7843  2 O 1.18
C  0.3905  0.1490  0.7157  2 O 1.18
Cd  0.5000  0.7938  0.5000  8 O 3.89-4.30, 4 C 3.90-4.03, 4 N 3.91-4.15
Cd  0.0000  0.2062  0.0000  8 O 3.89-4.30, 4 C 3.90-4.03, 4 N 3.91-4.15
O  0.3077  0.2339  0.6464  1 C 1.18
O  0.4733  0.0644  0.7853  1 C 1.18
O  0.1923  0.7661  0.1464  1 C 1.18
O  0.8077  0.7661  0.8536  1 C 1.18
O  0.9733  0.9356  0.7147  1 C 1.18
O  0.5267  0.0644  0.2147  1 C 1.18
O  0.6923  0.2339  0.3536  1 C 1.18
O  0.0267  0.9356  0.2853  1 C 1.18
N  0.3709  0.5241  0.8617  1 N 1.11
N  0.8709  0.4759  0.6383  1 N 1.11
N  0.6291  0.5241  0.1383  1 N 1.11
N  0.1291  0.4759  0.3617  1 N 1.11
N  0.7041  0.6381  0.1616  1 N 1.11
N  0.7959  0.3619  0.6616  1 N 1.11
N  0.2959  0.6381  0.8384  1 N 1.11
N  0.2041  0.3619  0.3384  1 N 1.11

=====

[6]
## Pa3CdC4N12 (PBE-GGA)

Data for an optimized crystal structure of Pa3CdC4N12.

a = 6.5319 Å, b = 6.5319 Å, c = 6.5319 Å
α = 102.23°, β = 102.23°, γ = 102.23°
Last column: nearest neighbours and their distance in Å.
Fractional coordinates of all 20 atoms:
N  0.3667  0.6333  0.5000  1 C 1.36
N  0.6220  0.8299  0.0209  1 C 1.35
N  0.5000  0.3667  0.6333  1 C 1.36
N  0.5000  0.1056  0.8944  1 C 1.36
N  0.3780  0.9791  0.1701  1 C 1.35
N  0.1056  0.8944  0.5000  1 C 1.36
N  0.1701  0.3780  0.9791  1 C 1.35
N  0.0209  0.6220  0.8299  1 C 1.35
N  0.6333  0.5000  0.3667  1 C 1.36
N  0.8944  0.5000  0.1056  1 C 1.36
N  0.9791  0.1701  0.3780  1 C 1.35
N  0.8299  0.0209  0.6220  1 C 1.35
C  0.0280  0.5000  0.9720  3 N 1.35-1.36
C  0.9720  0.0280  0.5000  3 N 1.35-1.36
C  0.5000  0.5000  0.5000  3 N 1.36
C  0.5000  0.9720  0.0280  3 N 1.35-1.36
Cd  0.0000  0.0000  0.0000  6 N 2.53
Pa  0.5282  0.4718  0.0000  6 N 2.26-2.30
Pa  0.0000  0.5282  0.4718  6 N 2.26-2.30
Pa  0.4718  0.0000  0.5282  6 N 2.26-2.30

=====

[7]
## Pa2CdCN5 (PBE-GGA)

Data for an optimized crystal structure of Pa2CdCN5.

a = 5.1002 Å, b = 6.6333 Å, c = 6.6333 Å
α = 90.00°, β = 90.00°, γ = 90.00°
Last column: nearest neighbours and their distance in Å.
Fractional coordinates of all 18 atoms:
N  0.2236  0.6201  0.8799  1 C 1.60
N  0.2236  0.8799  0.3799  1 C 1.60
N  0.7764  0.1201  0.6201  1 C 1.60
N  0.2236  0.1201  0.6201  1 C 1.60
N  0.7764  0.8799  0.3799  1 C 1.60
N  0.7764  0.3799  0.1201  1 C 1.60
N  0.2236  0.3799  0.1201  1 C 1.60
N  0.5000  0.5000  0.5000  4 Pa 2.42, 2 Cd 2.55
N  0.7764  0.6201  0.8799  1 C 1.60
N  0.5000  0.0000  0.0000  4 Pa 2.42, 2 Cd 2.55
Pa  0.5000  0.1854  0.3146  8 N 2.31-2.51
Pa  0.5000  0.6854  0.1854  8 N 2.31-2.51
Pa  0.5000  0.8146  0.6854  8 N 2.31-2.51
Pa  0.5000  0.3146  0.8146  8 N 2.31-2.51
Cd  0.0000  0.0000  0.0000  2 N 2.55
Cd  0.0000  0.5000  0.5000  2 N 2.55
C  0.0000  0.5000  0.0000  4 N 1.60
C  0.0000  0.0000  0.5000  4 N 1.60

=====

[8]
## Cd2PbCN (PBE-GGA)

Data for an optimized crystal structure of Cd2PbCN.

a = 4.3806 Å, b = 4.9493 Å, c = 4.3806 Å
α = 90.00°, β = 90.00°, γ = 90.00°
Last column: nearest neighbours and their distance in Å.
Fractional coordinates of all 5 atoms:
Cd  0.5000  0.0000  0.0000  2 N 2.19
Cd  0.0000  0.0000  0.5000  2 N 2.19
C  0.0000  0.5000  0.0000  2 N 2.47
N  0.0000  0.0000  0.0000  4 Cd 2.19
Pb  0.5000  0.5000  0.5000  4 C 3.10, 8 Cd 3.30

=====

[9]
## Cd2PdCN (PBE-GGA)

Data for an optimized crystal structure of Cd2PdCN.

a = 4.5676 Å, b = 3.9804 Å, c = 4.5676 Å
α = 90.00°, β = 90.00°, γ = 90.00°
Last column: nearest neighbours and their distance in Å.
Fractional coordinates of all 5 atoms:
Cd  0.5000  0.0000  0.0000  2 C 2.28
Cd  0.0000  0.0000  0.5000  2 C 2.28
C  0.0000  0.0000  0.0000  2 Pd 1.99
N  0.5000  0.5000  0.5000  8 Cd 3.03, 4 Pd 3.23
Pd  0.0000  0.5000  0.0000  2 C 1.99

=====

[10]
## CdPdC6N6 (PBE-GGA)

Data for an optimized crystal structure of CdPdC6N6.

a = 7.8205 Å, b = 7.8205 Å, c = 7.8205 Å
α = 60.00°, β = 60.00°, γ = 60.00°
Last column: nearest neighbours and their distance in Å.
Fractional coordinates of all 14 atoms:
Pd  0.5000  0.5000  0.5000  6 C 2.02
N  0.2124  0.7876  0.2124  1 C 1.16
N  0.7876  0.7876  0.2124  1 C 1.16
N  0.2124  0.7876  0.7876  1 C 1.16
N  0.7876  0.2124  0.7876  1 C 1.16
N  0.7876  0.2124  0.2124  1 C 1.16
N  0.2124  0.2124  0.7876  1 C 1.16
C  0.3176  0.6824  0.3176  1 N 1.16
C  0.6824  0.3176  0.3176  1 N 1.16
C  0.6824  0.6824  0.3176  1 N 1.16
C  0.3176  0.3176  0.6824  1 N 1.16
C  0.6824  0.3176  0.6824  1 N 1.16
C  0.3176  0.6824  0.6824  1 N 1.16
Cd  0.0000  0.0000  0.0000  6 N 2.35

=====

[11]
## Pm2CdC2N6 (PBE-GGA)

Data for an optimized crystal structure of Pm2CdC2N6.

a = 6.3098 Å, b = 5.5576 Å, c = 5.2653 Å
α = 102.58°, β = 78.01°, γ = 66.51°
Last column: nearest neighbours and their distance in Å.
Fractional coordinates of all 11 atoms:
N  0.8529  0.4479  0.2696  1 C 1.36
N  0.8063  0.0793  0.3819  1 C 1.37
N  0.1471  0.5521  0.7304  1 C 1.36
N  0.1937  0.9207  0.6181  1 C 1.37
N  0.4176  0.7043  0.8736  1 C 1.34
N  0.5824  0.2957  0.1264  1 C 1.34
Pm  0.1538  0.6113  0.2344  6 N 2.40-2.61
Pm  0.8462  0.3887  0.7656  6 N 2.40-2.61
C  0.2547  0.7218  0.7417  3 N 1.34-1.37
C  0.7453  0.2782  0.2583  3 N 1.34-1.37
Cd  0.5000  0.0000  0.5000  2 N 2.15

=====

[12]
## Pr2CdC2N6 (PBE-GGA)

Data for an optimized crystal structure of Pr2CdC2N6.

a = 6.3766 Å, b = 5.6511 Å, c = 5.4432 Å
α = 102.97°, β = 76.57°, γ = 68.81°
Last column: nearest neighbours and their distance in Å.
Fractional coordinates of all 11 atoms:
Pr  0.8450  0.3780  0.7665  6 N 2.43-2.71
Pr  0.1550  0.6220  0.2335  6 N 2.43-2.71
N  0.4191  0.6809  0.8450  1 C 1.34
N  0.8040  0.0739  0.3827  1 C 1.37
N  0.8745  0.4212  0.2618  1 C 1.36
N  0.1960  0.9261  0.6173  1 C 1.37
N  0.1255  0.5788  0.7382  1 C 1.36
N  0.5809  0.3191  0.1550  1 C 1.34
Cd  0.5000  0.0000  0.5000  2 N 2.11
C  0.7523  0.2679  0.2655  3 N 1.34-1.37
C  0.2477  0.7321  0.7345  3 N 1.34-1.37

=====

Electronic total energy values (in Ry/atom) by entry order: -0.2234; -0.5473; -0.3664; -0.2391; -0.5313; -0.6348; -0.5868; -0.2236; -0.2648; -0.5501; -0.5510; -0.5494.
E_form (uncorrected) values (in eV per atom) by entry order: 1.81; -0.48; 1.36; 3.10; -0.64; -0.33; -0.12; 1.58; 1.31; 0.47; -0.33; -0.30.